First-principles (PBE-GGA) data for CaTm2TcN4 after structural relaxation, as listed in the Alexandria database.

Cell lengths 6.046, 6.046, 11.608 Å; angles 90.00, 90.00, 147.29 degrees
Fractional coordinates of all 16 atoms:
Ca 0.112 0.888 0.750
Ca 0.888 0.112 0.250
Tm 0.370 0.630 0.537
Tm 0.370 0.630 0.963
Tm 0.630 0.370 0.037
Tm 0.630 0.370 0.463
Tc 0.152 0.848 0.250
Tc 0.848 0.152 0.750
N 0.000 0.000 0.000
N 0.000 0.000 0.500
N 0.258 0.742 0.121
N 0.258 0.742 0.379
N 0.433 0.567 0.750
N 0.567 0.433 0.250
N 0.742 0.258 0.621
N 0.742 0.258 0.879

Calculated values
Its density of states at the Fermi level is 0.523 states/eV/atom. The value obtained for the total energy is -125.7 eV per cell.



First-principles (PBE-GGA) data for CaTmTcN3 after structural relaxation, as listed in the Alexandria database.

Cell lengths 6.074, 3.396, 9.002 Å; angles 90.00, 102.95, 90.00 degrees
Fractional coordinates of all 12 atoms:
Ca 0.149 0.250 0.175
Ca 0.851 0.750 0.825
Tm 0.362 0.250 0.859
Tm 0.638 0.750 0.141
Tc 0.149 0.750 0.575
Tc 0.851 0.250 0.425
N 0.005 0.250 0.659
N 0.272 0.750 0.007
N 0.433 0.750 0.683
N 0.567 0.250 0.317
N 0.728 0.250 0.993
N 0.995 0.750 0.341

Calculated values
Its density of states at the Fermi level is 0.068 states/eV/atom. The value obtained for the total energy is -93.9 eV per cell.



First-principles (PBE-GGA) data for Ca2UTcN5 after structural relaxation, as listed in the Alexandria database.

Cell lengths 7.001, 7.001, 10.707 Å; angles 90.00, 90.00, 151.26 degrees
Fractional coordinates of all 18 atoms:
Ca 0.103 0.897 0.500
Ca 0.146 0.854 0.145
Ca 0.854 0.146 0.645
Ca 0.897 0.103 0.000
U 0.209 0.791 0.851
U 0.791 0.209 0.351
Tc 0.480 0.520 0.276
Tc 0.520 0.480 0.776
N 0.039 0.961 0.860
N 0.284 0.716 0.478
N 0.314 0.686 0.233
N 0.367 0.633 0.828
N 0.495 0.505 0.616
N 0.505 0.495 0.116
N 0.633 0.367 0.328
N 0.686 0.314 0.733
N 0.716 0.284 0.978
N 0.961 0.039 0.360

Calculated values
Its density of states at the Fermi level is 0.111 states/eV/atom. The value obtained for the total energy is -150.7 eV per cell.



First-principles (PBE-GGA) data for Ca3U3TcN8 after structural relaxation, as listed in the Alexandria database.

Cell lengths 6.859, 6.859, 6.859 Å; angles 58.76, 58.76, 58.76 degrees
Fractional coordinates of all 15 atoms:
Ca 0.000 0.500 0.500
Ca 0.500 0.000 0.500
Ca 0.500 0.500 0.000
U 0.000 0.000 0.500
U 0.000 0.500 0.000
U 0.500 0.000 0.000
Tc 0.500 0.500 0.500
N 0.232 0.733 0.733
N 0.241 0.241 0.241
N 0.267 0.267 0.768
N 0.267 0.768 0.267
N 0.733 0.232 0.733
N 0.733 0.733 0.232
N 0.759 0.759 0.759
N 0.768 0.267 0.267

Calculated values
Its density of states at the Fermi level is 0.539 states/eV/atom. The value obtained for the total energy is -132.7 eV per cell.



First-principles (PBE-GGA) data for CaUTcN3 after structural relaxation, as listed in the Alexandria database.

Cell lengths 7.438, 3.371, 7.475 Å; angles 90.00, 100.54, 90.00 degrees
Fractional coordinates of all 12 atoms:
Ca 0.182 0.250 0.203
Ca 0.818 0.750 0.797
U 0.346 0.750 0.831
U 0.654 0.250 0.169
Tc 0.104 0.250 0.590
Tc 0.896 0.750 0.410
N 0.154 0.250 0.870
N 0.185 0.750 0.447
N 0.446 0.750 0.129
N 0.554 0.250 0.871
N 0.815 0.250 0.553
N 0.846 0.750 0.130

Calculated values
Its density of states at the Fermi level is 0.312 states/eV/atom. The value obtained for the total energy is -106.6 eV per cell.



First-principles (PBE-GGA) data for Ca2VTcN5 after structural relaxation, as listed in the Alexandria database.

Cell lengths 7.000, 7.000, 10.497 Å; angles 90.00, 90.00, 153.09 degrees
Fractional coordinates of all 18 atoms:
Ca 0.097 0.903 0.500
Ca 0.132 0.868 0.146
Ca 0.868 0.132 0.646
Ca 0.903 0.097 0.000
V 0.438 0.562 0.264
V 0.562 0.438 0.764
Tc 0.222 0.778 0.867
Tc 0.778 0.222 0.367
N 0.046 0.954 0.850
N 0.290 0.710 0.469
N 0.309 0.691 0.221
N 0.349 0.651 0.832
N 0.500 0.500 0.119
N 0.500 0.500 0.619
N 0.651 0.349 0.332
N 0.691 0.309 0.721
N 0.710 0.290 0.969
N 0.954 0.046 0.350

Calculated values
Its density of states at the Fermi level is 0.256 states/eV/atom. The value obtained for the total energy is -141.9 eV per cell.